Material: CaCr4Hg2O8
Method: DFT, PBE with a Hubbard U
State: relaxed

abc: 6.2268 6.2268 17.3118
angles: 90.00 90.00 120.00
Space group R-3m (No. 166, hexagonal axes)
One atom of each set of equivalent atoms:
Ca 0.0000 0.0000 0.0000 [3 per cell]
Cr 0.0000 0.0000 0.5000 [3 per cell]
Cr 0.0000 0.5000 0.0000 [9 per cell]
Hg 0.0000 0.0000 0.1596 [6 per cell]
O 0.0000 0.0000 0.2837 [6 per cell]
O 0.0417 0.5209 0.2622 [18 per cell]

Results
DFT total energy = -6.26 eV per atom
N(E_F) = 20.3 states/eV per cell